Entry from OQMD via LeMat-Bulk: a relaxed NaDyPd6O8 crystal (GGA-PBE).

Geometry as POSCAR:
```
NaDyPd6O8
1.0
5.7763 0.0000 0.0000
0.0000 5.7763 0.0000
0.0000 0.0000 5.7763
Na Dy Pd O
1 1 6 8
Cartesian
0.0000 0.0000 0.0000
2.8881 2.8881 2.8881
0.0000 2.8881 1.4365
0.0000 2.8881 4.3398
1.4365 0.0000 2.8881
2.8881 1.4365 0.0000
2.8881 4.3398 0.0000
4.3398 0.0000 2.8881
1.4950 1.4950 1.4950
1.4950 1.4950 4.2812
1.4950 4.2812 1.4950
1.4950 4.2812 4.2812
4.2812 1.4950 1.4950
4.2812 1.4950 4.2812
4.2812 4.2812 1.4950
4.2812 4.2812 4.2812
```

Properties
DFT total energy in eV/cell: -94.064
Magnetization in μB/f.u.: 0.0
Space group: No. 200

Entry from OQMD via LeMat-Bulk: a relaxed Co2BSb crystal (GGA-PBE).

Geometry as POSCAR:
```
Co2BSb
1.0
3.1951 0.0000 0.0000
0.0000 6.6494 0.0000
0.0000 0.0000 4.6029
Co B Sb
4 2 2
Cartesian
0.0000 0.4515 0.0000
0.0000 6.1979 2.3014
1.5976 2.4492 0.8873
1.5976 4.2002 3.1888
1.5976 0.4373 1.2739
1.5976 6.2121 3.5753
0.0000 2.1656 2.8511
0.0000 4.4838 0.5496
```

Properties
DFT total energy in eV/cell: -49.625
Magnetization in μB/f.u.: 0.0
Space group: No. 26

Entry from OQMD via LeMat-Bulk: a relaxed Tb2GdU6 crystal (GGA-PBE).

Geometry as POSCAR:
```
Tb2GdU6
1.0
9.2325 0.0000 0.0000
-4.6163 7.9956 0.0000
0.0000 0.0000 2.9436
Tb Gd U
2 1 6
Cartesian
0.0000 5.3304 0.0000
4.6163 2.6652 0.0000
0.0000 0.0000 1.4718
-1.5310 2.6517 0.0000
-3.0549 5.2912 1.4718
3.0619 0.0000 0.0000
1.5614 2.7044 1.4718
6.1097 0.0000 1.4718
3.0853 5.3439 0.0000
```

Properties
Magnetization in μB/f.u.: 9.6
Energy relative to the elements in eV/atom: 0.6168
Space group: No. 189

Entry from OQMD via LeMat-Bulk: a relaxed ErLuAl4Ni2 crystal (GGA-PBE).

Geometry as POSCAR:
```
ErLuAl4Ni2
1.0
6.8818 0.0000 0.0000
0.0000 2.0213 4.9911
0.0000 -2.0213 4.9911
Er Lu Al Ni
1 1 4 2
Cartesian
0.0000 0.0000 0.0000
3.4409 0.0000 1.2205
1.3564 0.0000 7.1437
2.0956 0.0000 4.0523
4.7862 0.0000 4.0523
5.5254 0.0000 7.1437
0.0000 0.0000 2.7641
3.4409 0.0000 8.4460
```

Properties
DFT total energy in eV/cell: -40.419
Magnetization in μB/f.u.: 0.0
Space group: No. 38

magnetization of number 4 (ErLuAl4Ni2)? 0.0 μB/f.u.